No. 1
The following is a DFT calculation (PBE) of crystalline Cd2PbC2O7 at its relaxed geometry.

Values from the calculation:
Calculated volume   18.88 Å³ per atom
Formation energy from raw total energies   -1.15 eV/atom
E_tot   -6.05 eV/atom

a b c (Å): 10.269 10.269 10.269
angles (deg): 29.10 29.10 29.10
Positions (direct):
Cd (0.067, 0.067, 0.067)
Cd (0.933, 0.933, 0.933)
Pb (0.500, 0.500, 0.500)
C (0.222, 0.222, 0.222)
C (0.778, 0.778, 0.778)
O (0.000, 0.000, 0.000)
O (0.021, 0.518, 0.797)
O (0.203, 0.482, 0.979)
O (0.482, 0.979, 0.203)
O (0.518, 0.797, 0.021)
O (0.797, 0.021, 0.518)
O (0.979, 0.203, 0.482)


No. 2
The following is a DFT calculation (PBE) of crystalline Cd3PbC4O12 at its relaxed geometry.

Values from the calculation:
Calculated volume   13.05 Å³ per atom
Formation energy from raw total energies   -1.34 eV/atom
E_tot   -6.48 eV/atom
Fermi-level density of states   0.0 states/eV/cell

a b c (Å): 6.568 6.568 6.568
angles (deg): 102.14 102.14 102.14
Positions (direct):
Cd (0.000, 0.529, 0.471)
Cd (0.471, 0.000, 0.529)
Cd (0.529, 0.471, 0.000)
Pb (0.000, 0.000, 0.000)
C (0.031, 0.500, 0.969)
C (0.500, 0.500, 0.500)
C (0.500, 0.969, 0.031)
C (0.969, 0.031, 0.500)
O (0.017, 0.615, 0.831)
O (0.096, 0.904, 0.500)
O (0.169, 0.385, 0.983)
O (0.373, 0.627, 0.500)
O (0.385, 0.983, 0.169)
O (0.500, 0.096, 0.904)
O (0.500, 0.373, 0.627)
O (0.615, 0.831, 0.017)
O (0.627, 0.500, 0.373)
O (0.831, 0.017, 0.615)
O (0.904, 0.500, 0.096)
O (0.983, 0.169, 0.385)


No. 3
The following is a DFT calculation (PBE) of crystalline CdPb2CO at its relaxed geometry.

Values from the calculation:
Calculated volume   26.13 Å³ per atom
Formation energy from raw total energies   1.41 eV/atom
E_tot   -3.10 eV/atom
Fermi-level density of states   3.1 states/eV/cell

a b c (Å): 5.708 5.708 4.010
angles (deg): 90.00 90.00 90.00
Positions (direct):
Cd (0.000, 0.000, 0.000)
Pb (0.000, 0.500, 0.000)
Pb (0.500, 0.000, 0.000)
C (0.500, 0.500, 0.500)
O (0.000, 0.000, 0.500)


No. 4
The following is a DFT calculation (PBE) of crystalline CdPdC2O6 at its relaxed geometry.

Values from the calculation:
Calculated volume   11.57 Å³ per atom
Formation energy from raw total energies   -1.06 eV/atom
E_tot   -6.49 eV/atom

a b c (Å): 6.133 6.133 6.133
angles (deg): 47.74 47.74 47.74
Positions (direct):
Cd (0.000, 0.000, 0.000)
Pd (0.500, 0.500, 0.500)
C (0.248, 0.248, 0.248)
C (0.752, 0.752, 0.752)
O (0.016, 0.747, 0.493)
O (0.253, 0.507, 0.984)
O (0.493, 0.016, 0.747)
O (0.507, 0.984, 0.253)
O (0.747, 0.493, 0.016)
O (0.984, 0.253, 0.507)